Entry 1:
! Ag2AsHIr, optimized geometry, DFT PBE; values from VASP
! - Fermi-level density of states: 2.7 states/eV/cell
! - VASP energy: -4.100 eV/atom
! - Space-group type: P4/mmm
&SYSTEM
  ibrav = 0, nat = 5, ntyp = 4
/
ATOMIC_SPECIES
Ag 107.87 Ag.upf
H 1.01 H.upf
Ir 192.22 Ir.upf
As 74.92 As.upf
CELL_PARAMETERS angstrom
4.435 0.000 0.000
0.000 3.682 0.000
0.000 0.000 4.435
ATOMIC_POSITIONS angstrom
Ag 2.218 0.000 0.000
Ag 0.000 0.000 2.218
H 0.000 0.000 0.000
Ir 0.000 1.841 0.000
As 2.218 1.841 2.218

Entry 2:
! LaAgAsH, optimized geometry, DFT PBE; values from VASP
! - Fermi-level density of states: 0.3 states/eV/cell
! - VASP energy: -4.718 eV/atom
! - Space-group type: P4/nmm
&SYSTEM
  ibrav = 0, nat = 8, ntyp = 4
/
ATOMIC_SPECIES
As 74.92 As.upf
La 138.91 La.upf
Ag 107.87 Ag.upf
H 1.01 H.upf
CELL_PARAMETERS angstrom
4.229 0.000 0.000
0.000 4.229 0.000
0.000 0.000 8.147
ATOMIC_POSITIONS angstrom
As 0.000 2.114 2.267
As 2.114 0.000 5.880
La 0.000 2.114 6.859
La 2.114 0.000 1.288
Ag 2.114 2.114 4.073
Ag 0.000 0.000 4.073
H 0.000 0.000 0.000
H 2.114 2.114 0.000

Entry 3:
! LiAg2AsH, optimized geometry, DFT PBE; values from VASP
! - Fermi-level density of states: 1.9 states/eV/cell
! - VASP energy: -3.167 eV/atom
! - Space-group type: P4/mmm
&SYSTEM
  ibrav = 0, nat = 5, ntyp = 4
/
ATOMIC_SPECIES
Ag 107.87 Ag.upf
Li 6.94 Li.upf
H 1.01 H.upf
As 74.92 As.upf
CELL_PARAMETERS angstrom
-1.706 3.467 1.500
-3.650 -1.936 0.323
0.976 -1.194 3.870
ATOMIC_POSITIONS angstrom
Ag -0.853 1.733 0.750
Ag -1.825 -0.968 0.161
Li 0.488 -0.597 1.935
H 0.000 0.000 0.000
As -2.190 0.168 2.846

Entry 4:
! Li2AgAsH, optimized geometry, DFT PBE; values from VASP
! - Fermi-level density of states: 1.5 states/eV/cell
! - VASP energy: -3.115 eV/atom
! - Space-group type: P4/mmm
&SYSTEM
  ibrav = 0, nat = 5, ntyp = 4
/
ATOMIC_SPECIES
Li 6.94 Li.upf
H 1.01 H.upf
Ag 107.87 Ag.upf
As 74.92 As.upf
CELL_PARAMETERS angstrom
-3.696 1.806 0.428
-1.547 -3.525 1.512
0.967 1.123 3.608
ATOMIC_POSITIONS angstrom
Li -0.774 -1.762 0.756
Li -1.848 0.903 0.214
H 0.000 0.000 0.000
Ag -2.138 -0.298 2.774
As 0.483 0.562 1.804

Entry 5:
! Li2AgAsH, optimized geometry, DFT PBE; values from VASP
! - Fermi-level density of states: 0.9 states/eV/cell
! - VASP energy: -3.247 eV/atom
! - Space-group type: P4/mmm
&SYSTEM
  ibrav = 0, nat = 5, ntyp = 4
/
ATOMIC_SPECIES
Li 6.94 Li.upf
As 74.92 As.upf
Ag 107.87 Ag.upf
H 1.01 H.upf
CELL_PARAMETERS angstrom
-4.117 -0.231 0.160
0.236 -4.118 0.117
0.143 0.117 3.846
ATOMIC_POSITIONS angstrom
Li 0.118 -2.059 0.058
Li -2.058 -0.115 0.080
As -1.869 -2.116 2.062
Ag 0.072 0.059 1.923
H 0.000 0.000 0.000

Entry 6:
! AgMo2AsH, optimized geometry, DFT PBE; values from VASP
! - Fermi-level density of states: 3.8 states/eV/cell
! - VASP energy: -5.504 eV/atom
! - Space-group type: P4/mmm
&SYSTEM
  ibrav = 0, nat = 5, ntyp = 4
/
ATOMIC_SPECIES
Ag 107.87 Ag.upf
H 1.01 H.upf
Mo 95.94 Mo.upf
As 74.92 As.upf
CELL_PARAMETERS angstrom
4.993 0.000 0.000
0.000 3.077 0.000
0.000 0.000 4.993
ATOMIC_POSITIONS angstrom
Ag 2.496 1.538 2.496
H 0.000 1.538 0.000
Mo 0.000 0.000 2.496
Mo 2.496 0.000 0.000
As 0.000 0.000 0.000

Entry 7:
! Na2AgAsH, optimized geometry, DFT PBE; values from VASP
! - Fermi-level density of states: 1.6 states/eV/cell
! - VASP energy: -2.803 eV/atom
! - Space-group type: P4/mmm
&SYSTEM
  ibrav = 0, nat = 5, ntyp = 4
/
ATOMIC_SPECIES
Ag 107.87 Ag.upf
Na 22.99 Na.upf
H 1.01 H.upf
As 74.92 As.upf
CELL_PARAMETERS angstrom
-1.628 -4.852 0.152
3.791 -1.171 3.236
-2.086 0.785 2.728
ATOMIC_POSITIONS angstrom
Ag -1.043 0.392 1.364
Na 1.896 -0.585 1.618
Na -0.814 -2.426 0.076
H 0.000 0.000 0.000
As 0.039 -2.619 3.058

Entry 8:
! NdAgAsH, optimized geometry, DFT PBE; values from VASP
! - Fermi-level density of states: 0.4 states/eV/cell
! - VASP energy: -4.605 eV/atom
! - Space-group type: P4/nmm
&SYSTEM
  ibrav = 0, nat = 8, ntyp = 4
/
ATOMIC_SPECIES
H 1.01 H.upf
As 74.92 As.upf
Ag 107.87 Ag.upf
Nd 144.24 Nd.upf
CELL_PARAMETERS angstrom
-4.113 0.259 -0.122
-0.264 -2.772 3.041
0.220 6.109 5.588
ATOMIC_POSITIONS angstrom
H 0.000 0.000 0.000
H -2.189 -1.256 1.460
As -1.897 4.556 3.988
As -0.072 0.297 3.059
Ag 0.110 3.054 2.794
Ag -2.079 1.798 4.253
Nd 0.053 3.760 6.228
Nd -2.022 1.092 0.819

Entry 9:
! NiAg2AsH, optimized geometry, DFT PBE; values from VASP
! - Fermi-level density of states: 2.0 states/eV/cell
! - VASP energy: -3.488 eV/atom
! - Space-group type: P4/mmm
&SYSTEM
  ibrav = 0, nat = 5, ntyp = 4
/
ATOMIC_SPECIES
As 74.92 As.upf
Ni 58.69 Ni.upf
Ag 107.87 Ag.upf
H 1.01 H.upf
CELL_PARAMETERS angstrom
5.094 0.000 0.000
0.000 2.979 0.000
0.000 0.000 5.094
ATOMIC_POSITIONS angstrom
As 2.547 1.489 2.547
Ni 0.000 0.000 0.000
Ag 2.547 0.000 0.000
Ag 0.000 0.000 2.547
H 0.000 1.489 0.000

Entry 10:
! AgAs3H2O9, optimized geometry, DFT PBE; values from VASP
! - VASP energy: -5.547 eV/atom
! - Space-group type: P-1
&SYSTEM
  ibrav = 0, nat = 30, ntyp = 4
/
ATOMIC_SPECIES
As 74.92 As.upf
O 16.00 O.upf
H 1.01 H.upf
Ag 107.87 Ag.upf
CELL_PARAMETERS angstrom
-7.070 0.236 -2.001
0.787 -6.537 4.212
1.291 6.538 4.562
ATOMIC_POSITIONS angstrom
As -0.143 0.307 3.711
As -2.137 -1.062 1.497
As -0.041 -2.440 5.158
As -2.854 1.299 5.276
As -4.950 2.677 1.615
As -4.849 -0.070 3.062
O 0.712 0.751 5.319
O -1.600 1.429 4.039
O -3.391 -1.192 2.734
O 0.646 1.810 2.884
O -1.568 -2.712 1.539
O -5.703 -0.514 1.455
O -0.794 -0.046 2.021
O -2.326 0.753 6.760
O -3.423 2.949 5.235
O 0.217 -3.718 4.097
O -3.947 1.378 2.256
O -5.638 -1.573 3.889
O -4.198 0.283 4.753
O -5.209 3.955 2.676
O -1.045 -1.141 4.517
O -3.160 -3.436 4.455
O -1.832 3.673 2.318
O -2.665 -0.516 0.013
H 0.568 3.748 5.504
H -3.461 -2.614 3.988
H -1.530 2.850 2.786
H -5.559 -3.511 1.269
Ag -1.484 -5.000 3.042
Ag -3.508 5.237 3.731

Entry 11:
! Ag2AsHO4, optimized geometry, DFT PBE; values from VASP
! - VASP energy: -4.910 eV/atom
! - Space-group type: Pmn2_1
&SYSTEM
  ibrav = 0, nat = 16, ntyp = 4
/
ATOMIC_SPECIES
H 1.01 H.upf
O 16.00 O.upf
As 74.92 As.upf
Ag 107.87 Ag.upf
CELL_PARAMETERS angstrom
5.871 0.000 0.000
0.000 6.023 0.000
0.000 0.000 6.608
ATOMIC_POSITIONS angstrom
H 2.166 5.980 0.000
H 5.101 0.044 3.304
O 2.373 4.564 1.872
O 4.714 5.158 3.304
O 2.561 0.997 3.304
O 5.308 1.459 5.176
O 5.496 5.026 0.000
O 5.308 1.459 1.432
O 1.779 0.866 0.000
O 2.373 4.564 4.736
As 5.840 0.661 0.000
As 2.905 5.362 3.304
Ag 3.196 2.473 1.531
Ag 3.196 2.473 5.077
Ag 0.260 3.550 4.835
Ag 0.260 3.550 1.773

Entry 12:
! AgAsPH2, optimized geometry, DFT PBE; values from VASP
! - Fermi-level density of states: 2.8 states/eV/cell
! - VASP energy: -3.413 eV/atom
! - Space-group type: P4/mmm
&SYSTEM
  ibrav = 0, nat = 5, ntyp = 4
/
ATOMIC_SPECIES
As 74.92 As.upf
Ag 107.87 Ag.upf
P 30.97 P.upf
H 1.01 H.upf
CELL_PARAMETERS angstrom
-2.376 -1.868 1.737
4.404 -3.572 2.182
0.351 2.112 2.751
ATOMIC_POSITIONS angstrom
As 1.190 -1.664 3.335
Ag 0.000 0.000 0.000
P 2.202 -1.786 1.091
H -1.188 -0.934 0.869
H 0.175 1.056 1.375

Entry 13:
! AgAsHPt2, optimized geometry, DFT PBE; values from VASP
! - Fermi-level density of states: 3.8 states/eV/cell
! - VASP energy: -3.644 eV/atom
! - Space-group type: P4/mmm
&SYSTEM
  ibrav = 0, nat = 5, ntyp = 4
/
ATOMIC_SPECIES
H 1.01 H.upf
Ag 107.87 Ag.upf
Pt 195.08 Pt.upf
As 74.92 As.upf
CELL_PARAMETERS angstrom
-3.037 -3.496 -0.530
0.539 -1.211 4.900
-3.501 2.875 1.095
ATOMIC_POSITIONS angstrom
H -2.999 -0.916 2.733
Ag 0.269 -0.605 2.450
Pt -1.750 1.438 0.548
Pt -1.518 -1.748 -0.265
As 0.000 0.000 0.000

Entry 14:
! ReAg2AsH, optimized geometry, DFT PBE; values from VASP
! - Fermi-level density of states: 3.3 states/eV/cell
! - VASP energy: -4.142 eV/atom
! - Space-group type: P4/mmm
&SYSTEM
  ibrav = 0, nat = 5, ntyp = 4
/
ATOMIC_SPECIES
Ag 107.87 Ag.upf
As 74.92 As.upf
Re 186.21 Re.upf
H 1.01 H.upf
CELL_PARAMETERS angstrom
5.101 0.000 0.000
0.000 3.067 0.000
0.000 0.000 5.101
ATOMIC_POSITIONS angstrom
Ag 0.000 0.000 2.550
Ag 2.550 0.000 0.000
As 0.000 0.000 0.000
Re 2.550 1.534 2.550
H 0.000 1.534 0.000

Entry 15:
! Ag2AsHS4, optimized geometry, DFT PBE; values from VASP
! - VASP energy: -3.831 eV/atom
! - Space-group type: P1
&SYSTEM
  ibrav = 0, nat = 8, ntyp = 4
/
ATOMIC_SPECIES
S 32.06 S.upf
Ag 107.87 Ag.upf
H 1.01 H.upf
As 74.92 As.upf
CELL_PARAMETERS angstrom
-0.744 -1.995 -5.265
0.878 -5.271 1.664
-5.464 3.093 2.854
ATOMIC_POSITIONS angstrom
S -4.085 1.660 1.898
S -1.708 -3.151 -3.312
S -3.806 -2.303 -0.277
S -0.909 -4.284 -0.069
Ag -0.528 -1.022 -2.645
Ag -2.662 0.094 0.473
H -4.654 -2.008 -1.303
As -2.563 -3.917 -1.454

Entry 16:
! Ag2AsHSe4, optimized geometry, DFT PBE; values from VASP
! - VASP energy: -3.486 eV/atom
! - Space-group type: P1
&SYSTEM
  ibrav = 0, nat = 8, ntyp = 4
/
ATOMIC_SPECIES
Ag 107.87 Ag.upf
As 74.92 As.upf
Se 78.96 Se.upf
H 1.01 H.upf
CELL_PARAMETERS angstrom
-0.236 1.134 5.739
-5.394 -2.651 0.696
5.317 -4.001 -2.295
ATOMIC_POSITIONS angstrom
Ag 1.635 -1.992 -0.024
Ag -0.040 0.470 3.105
As -1.540 -3.017 3.797
Se 0.384 -3.680 2.393
Se 3.540 -3.349 -1.244
Se -3.287 -2.565 2.260
Se -1.153 -0.984 4.985
H 1.221 -3.991 3.604

Entry 17:
! AgAs2HSe, optimized geometry, DFT PBE; values from VASP
! - Fermi-level density of states: 2.5 states/eV/cell
! - VASP energy: -3.234 eV/atom
! - Space-group type: P4/mmm
&SYSTEM
  ibrav = 0, nat = 5, ntyp = 4
/
ATOMIC_SPECIES
As 74.92 As.upf
Ag 107.87 Ag.upf
H 1.01 H.upf
Se 78.96 Se.upf
CELL_PARAMETERS angstrom
-0.065 2.543 3.090
-3.104 -1.982 1.567
3.403 -3.193 2.700
ATOMIC_POSITIONS angstrom
As -1.552 -0.991 0.784
As -0.032 1.272 1.545
Ag 0.117 -1.316 3.678
H 0.000 0.000 0.000
Se 1.702 -1.597 1.350

Entry 18:
! AgAs2HSe, optimized geometry, DFT PBE; values from VASP
! - Fermi-level density of states: 3.9 states/eV/cell
! - VASP energy: -2.531 eV/atom
! - Space-group type: P4/mmm
&SYSTEM
  ibrav = 0, nat = 5, ntyp = 4
/
ATOMIC_SPECIES
Se 78.96 Se.upf
As 74.92 As.upf
Ag 107.87 Ag.upf
H 1.01 H.upf
CELL_PARAMETERS angstrom
5.054 0.000 0.000
0.000 5.054 0.000
0.000 0.000 5.180
ATOMIC_POSITIONS angstrom
Se 0.000 0.000 2.590
As 0.000 2.527 0.000
As 2.527 0.000 0.000
Ag 0.000 0.000 0.000
H 2.527 2.527 2.590

Entry 19:
! Sr2AgAsH, optimized geometry, DFT PBE; values from VASP
! - Fermi-level density of states: 1.1 states/eV/cell
! - VASP energy: -3.425 eV/atom
! - Space-group type: P4/mmm
&SYSTEM
  ibrav = 0, nat = 5, ntyp = 4
/
ATOMIC_SPECIES
H 1.01 H.upf
Sr 87.62 Sr.upf
Ag 107.87 Ag.upf
As 74.92 As.upf
CELL_PARAMETERS angstrom
5.215 0.000 0.000
0.000 5.215 0.000
0.000 0.000 4.176
ATOMIC_POSITIONS angstrom
H 0.000 0.000 0.000
Sr 0.000 2.607 0.000
Sr 2.607 0.000 0.000
Ag 0.000 0.000 2.088
As 2.607 2.607 2.088

Entry 20:
! Hf3AgAs, optimized geometry, DFT PBE; values from VASP
! - Fermi-level density of states: 2.8 states/eV/cell
! - Space-group type: Pm-3m
! - Formation enthalpy at 0 K: 1.27 eV/f.u.
&SYSTEM
  ibrav = 0, nat = 5, ntyp = 3
/
ATOMIC_SPECIES
Hf 178.49 Hf.upf
As 74.92 As.upf
Ag 107.87 Ag.upf
CELL_PARAMETERS angstrom
-0.731 2.917 3.903
-2.334 -3.674 2.309
4.278 -1.506 1.927
ATOMIC_POSITIONS angstrom
Hf 2.139 -0.753 0.963
Hf -0.366 1.459 1.952
Hf -1.167 -1.837 1.154
As 0.000 0.000 0.000
Ag 0.606 -1.132 4.069

Entry 21:
! HfAg2As, optimized geometry, DFT PBE; values from VASP
! - Fermi-level density of states: 7.4 states/eV/cell
! - Space-group type: I-42d
! - Formation enthalpy at 0 K: 0.21 eV/f.u.
&SYSTEM
  ibrav = 0, nat = 8, ntyp = 3
/
ATOMIC_SPECIES
As 74.92 As.upf
Hf 178.49 Hf.upf
Ag 107.87 Ag.upf
CELL_PARAMETERS angstrom
-0.268 -0.636 -7.708
7.586 -1.525 -0.138
3.136 -3.705 -3.688
ATOMIC_POSITIONS angstrom
As 7.191 -3.155 -3.874
As 3.659 -1.081 -3.923
Hf 0.000 0.000 0.000
Hf 3.264 -2.711 -7.660
Ag 5.312 -3.632 -5.712
Ag 5.484 -1.977 -2.190
Ag 1.572 -1.496 -5.538
Ag 8.540 -4.626 -9.627

Entry 22:
! Hf2AgAs2, optimized geometry, DFT PBE; values from VASP
! - Fermi-level density of states: 7.2 states/eV/cell
! - Space-group type: P4/mbm
! - Formation enthalpy at 0 K: -2.48 eV/f.u.
&SYSTEM
  ibrav = 0, nat = 10, ntyp = 3
/
ATOMIC_SPECIES
As 74.92 As.upf
Ag 107.87 Ag.upf
Hf 178.49 Hf.upf
CELL_PARAMETERS angstrom
-2.949 -6.456 2.472
3.886 -3.771 -5.212
2.664 -0.357 2.244
ATOMIC_POSITIONS angstrom
As 0.185 -6.983 1.400
As 2.716 -7.581 -1.699
As 0.884 -3.003 1.204
As 3.415 -3.601 -1.896
Ag 0.000 0.000 0.000
Ag 0.468 -5.113 -1.370
Hf -1.339 -4.712 0.839
Hf 0.951 -2.275 -1.491
Hf -0.015 -7.952 -1.249
Hf 2.275 -5.515 -3.578

Entry 23:
! Hf2Ag2As, optimized geometry, DFT PBE; values from VASP
! - Fermi-level density of states: 7.1 states/eV/cell
! - Space-group type: P4/mbm
! - Formation enthalpy at 0 K: -0.52 eV/f.u.
&SYSTEM
  ibrav = 0, nat = 10, ntyp = 3
/
ATOMIC_SPECIES
Ag 107.87 Ag.upf
As 74.92 As.upf
Hf 178.49 Hf.upf
CELL_PARAMETERS angstrom
6.973 0.000 0.000
0.000 6.973 0.000
0.000 0.000 4.361
ATOMIC_POSITIONS angstrom
Ag 4.460 5.999 2.181
Ag 0.973 4.460 2.181
Ag 5.999 2.513 2.181
Ag 2.513 0.973 2.181
As 0.000 0.000 0.000
As 3.486 3.486 0.000
Hf 2.370 5.857 0.000
Hf 4.602 1.116 0.000
Hf 5.857 4.602 0.000
Hf 1.116 2.370 0.000

Entry 24:
! HfAgAs3, optimized geometry, DFT PBE; values from VASP
! - Fermi-level density of states: 3.8 states/eV/cell
! - Space-group type: Pm-3m
! - Formation enthalpy at 0 K: 1.63 eV/f.u.
&SYSTEM
  ibrav = 0, nat = 5, ntyp = 3
/
ATOMIC_SPECIES
As 74.92 As.upf
Hf 178.49 Hf.upf
Ag 107.87 Ag.upf
CELL_PARAMETERS angstrom
-0.238 -5.113 0.413
3.323 0.161 3.911
-3.907 0.449 3.301
ATOMIC_POSITIONS angstrom
As -0.119 -2.556 0.207
As -1.954 0.224 1.651
As 1.661 0.081 1.956
Hf 0.000 0.000 0.000
Ag -0.411 -2.251 3.813

Entry 25:
! Hf3AgAs, optimized geometry, DFT PBE; values from VASP
! - Fermi-level density of states: 6.1 states/eV/cell
! - Space-group type: Pm-3m
! - Formation enthalpy at 0 K: 4.67 eV/f.u.
&SYSTEM
  ibrav = 0, nat = 5, ntyp = 3
/
ATOMIC_SPECIES
Ag 107.87 Ag.upf
Hf 178.49 Hf.upf
As 74.92 As.upf
CELL_PARAMETERS angstrom
-4.483 -0.769 2.209
0.499 -4.980 -0.721
2.285 -0.421 4.491
ATOMIC_POSITIONS angstrom
Ag 0.000 0.000 0.000
Hf 0.249 -2.490 -0.361
Hf 1.142 -0.211 2.246
Hf -2.242 -0.384 1.104
As -0.850 -3.085 2.989